# 1
# GGA-PBE Tc2RuBr, relaxed
data_Tc2RuBr
_chemical_formula_sum 'Tc2 Ru1 Br1'
_cell_length_a 2.867
_cell_length_b 3.417
_cell_length_c 6.641
_cell_angle_alpha 90.00
_cell_angle_beta 90.00
_cell_angle_gamma 90.00
_space_group_name_H-M_alt 'P 1'
_space_group_IT_number 1
loop_
_space_group_symop_operation_xyz
'x,y,z'
loop_
_atom_site_label
_atom_site_type_symbol
_atom_site_fract_x
_atom_site_fract_y
_atom_site_fract_z
Ru1 Ru 0.500 0.500 0.750
Tc1 Tc 0.000 0.000 0.962
Tc2 Tc 0.000 0.000 0.538
Br1 Br 0.500 0.500 0.250
# DOS at the Fermi energy = 4.87 states/eV/cell
# distance to the lowest polymorph of the same formula = 0.192 eV/atom
# electronic total energy = -7.21 eV/atom
# spin magnetization = 0.0 μB/f.u.

# 2
# GGA-PBE Rb2PdSe2O6, relaxed
data_Rb2PdSe2O6
_chemical_formula_sum 'Rb2 Pd1 Se2 O6'
_cell_length_a 5.427
_cell_length_b 7.227
_cell_length_c 7.658
_cell_angle_alpha 119.28
_cell_angle_beta 90.00
_cell_angle_gamma 112.05
_space_group_name_H-M_alt 'P 1'
_space_group_IT_number 1
loop_
_space_group_symop_operation_xyz
'x,y,z'
loop_
_atom_site_label
_atom_site_type_symbol
_atom_site_fract_x
_atom_site_fract_y
_atom_site_fract_z
Rb1 Rb 0.712 0.424 0.239
Rb2 Rb 0.288 0.576 0.761
Pd1 Pd 0.500 0.000 0.500
Se1 Se 0.027 0.055 0.804
Se2 Se 0.973 0.945 0.196
O1 O 0.879 0.758 0.659
O2 O 0.172 0.837 0.264
O3 O 0.334 0.163 0.736
O4 O 0.828 0.163 0.736
O5 O 0.666 0.837 0.264
O6 O 0.121 0.242 0.341
# electronic total energy = -5.06 eV/atom
# spin magnetization = 0.0 μB/f.u.

# 3
# GGA-PBE SrBe2ZnAu4, relaxed
data_SrBe2ZnAu4
_chemical_formula_sum 'Sr1 Be2 Zn1 Au4'
_cell_length_a 4.264
_cell_length_b 4.264
_cell_length_c 9.735
_cell_angle_alpha 77.35
_cell_angle_beta 77.35
_cell_angle_gamma 60.00
_space_group_name_H-M_alt 'P 1'
_space_group_IT_number 1
loop_
_space_group_symop_operation_xyz
'x,y,z'
loop_
_atom_site_label
_atom_site_type_symbol
_atom_site_fract_x
_atom_site_fract_y
_atom_site_fract_z
Sr1 Sr 0.000 0.000 0.000
Be1 Be 0.767 0.767 0.700
Be2 Be 0.233 0.233 0.300
Zn1 Zn 0.500 0.500 0.500
Au1 Au 0.407 0.407 0.779
Au2 Au 0.869 0.869 0.393
Au3 Au 0.131 0.131 0.607
Au4 Au 0.593 0.593 0.221
# DOS at the Fermi energy = 0.96 states/eV/cell
# electronic total energy = -3.17 eV/atom
# spin magnetization = 0.0 μB/f.u.

# 4
# GGA-PBE ZrP2Ir2, relaxed
data_ZrP2Ir2
_chemical_formula_sum 'Zr1 P2 Ir2'
_cell_length_a 4.245
_cell_length_b 4.245
_cell_length_c 5.432
_cell_angle_alpha 67.00
_cell_angle_beta 67.00
_cell_angle_gamma 90.00
_space_group_name_H-M_alt 'P 1'
_space_group_IT_number 1
loop_
_space_group_symop_operation_xyz
'x,y,z'
loop_
_atom_site_label
_atom_site_type_symbol
_atom_site_fract_x
_atom_site_fract_y
_atom_site_fract_z
P1 P 0.750 0.250 0.500
P2 P 0.250 0.750 0.500
Ir1 Ir 0.356 0.356 0.287
Ir2 Ir 0.644 0.644 0.713
Zr1 Zr 0.000 0.000 0.000
# DOS at the Fermi energy = 3.58 states/eV/cell
# electronic total energy = -8.00 eV/atom
# spin magnetization = 0.0 μB/f.u.

# 5
# GGA-PBE U2HgSe4, relaxed
data_U2HgSe4
_chemical_formula_sum 'U2 Hg1 Se4'
_cell_length_a 4.138
_cell_length_b 7.179
_cell_length_c 10.132
_cell_angle_alpha 110.30
_cell_angle_beta 101.78
_cell_angle_gamma 90.00
_space_group_name_H-M_alt 'P 1'
_space_group_IT_number 1
loop_
_space_group_symop_operation_xyz
'x,y,z'
loop_
_atom_site_label
_atom_site_type_symbol
_atom_site_fract_x
_atom_site_fract_y
_atom_site_fract_z
U1 U 0.251 0.251 0.503
U2 U 0.749 0.749 0.497
Hg1 Hg 0.500 0.500 0.000
Se1 Se 0.669 0.007 0.337
Se2 Se 0.331 0.993 0.663
Se3 Se 0.168 0.499 0.336
Se4 Se 0.832 0.501 0.664
# DOS at the Fermi energy = 11.34 states/eV/cell
# electronic total energy = -6.20 eV/atom
# spin magnetization = 4.0 μB/f.u.

# 6
# GGA-PBE Li2Ga4Cu5, relaxed
data_Li2Ga4Cu5
_chemical_formula_sum 'Li2 Ga4 Cu5'
_cell_length_a 2.826
_cell_length_b 6.569
_cell_length_c 8.423
_cell_angle_alpha 91.12
_cell_angle_beta 99.66
_cell_angle_gamma 90.00
_space_group_name_H-M_alt 'P 1'
_space_group_IT_number 1
loop_
_space_group_symop_operation_xyz
'x,y,z'
loop_
_atom_site_label
_atom_site_type_symbol
_atom_site_fract_x
_atom_site_fract_y
_atom_site_fract_z
Li1 Li 0.438 0.371 0.876
Li2 Li 0.562 0.629 0.124
Ga1 Ga 0.246 0.188 0.491
Ga2 Ga 0.923 0.730 0.845
Ga3 Ga 0.754 0.812 0.509
Ga4 Ga 0.077 0.270 0.155
Cu1 Cu 0.814 0.461 0.628
Cu2 Cu 0.186 0.539 0.372
Cu3 Cu 0.869 0.083 0.738
Cu4 Cu 0.500 0.000 0.000
Cu5 Cu 0.131 0.917 0.262
# DOS at the Fermi energy = 3.55 states/eV/cell
# distance to the lowest polymorph of the same formula = 0.027 eV/atom
# electronic total energy = -3.42 eV/atom
# spin magnetization = 0.0 μB/f.u.

What did the third record say?
# GGA-PBE SrBe2ZnAu4, relaxed
data_SrBe2ZnAu4
_chemical_formula_sum 'Sr1 Be2 Zn1 Au4'
_cell_length_a 4.264
_cell_length_b 4.264
_cell_length_c 9.735
_cell_angle_alpha 77.35
_cell_angle_beta 77.35
_cell_angle_gamma 60.00
_space_group_name_H-M_alt 'P 1'
_space_group_IT_number 1
loop_
_space_group_symop_operation_xyz
'x,y,z'
loop_
_atom_site_label
_atom_site_type_symbol
_atom_site_fract_x
_atom_site_fract_y
_atom_site_fract_z
Sr1 Sr 0.000 0.000 0.000
Be1 Be 0.767 0.767 0.700
Be2 Be 0.233 0.233 0.300
Zn1 Zn 0.500 0.500 0.500
Au1 Au 0.407 0.407 0.779
Au2 Au 0.869 0.869 0.393
Au3 Au 0.131 0.131 0.607
Au4 Au 0.593 0.593 0.221
# DOS at the Fermi energy = 0.96 states/eV/cell
# electronic total energy = -3.17 eV/atom
# spin magnetization = 0.0 μB/f.u.